1.
TlRu2O4: optimized geometry, PBE.

The crystal system is monoclinic. For the density of states at the Fermi level, the calculation gives 7.292 states/eV per cell. The calculation puts the total magnetization at 0.00 μB/cell. The value obtained for the total energy is -6.623 eV/atom.

The structure belongs to space group C2/m (No. 12); the cell edges are 13.990, 3.179 and 4.892 Å and the angles 90.00°, 106.14° and 90.00°. The asymmetric unit holds Tl at (0.000, 0.000, 0.000), Ru at (0.246, 0.500, 0.718), O at (0.158, 0.000, 0.524) and O at (0.181, 0.500, 0.043).

***

2.
GaMoOs3: optimized geometry, PBE.

The crystal system is cubic. For the density of states at the Fermi level, the calculation gives 5.216 states/eV per cell. The calculation puts the energy above the most stable polymorph in this dataset at 0 meV per atom. The calculation puts the total magnetization at 0.00 μB/cell. For the formation energy from the elements, the calculation gives 1831.5 meV per atom. The value obtained for the total energy is -7.678 eV/atom.

The structure belongs to space group Pm-3m (No. 221); the cell edges are 4.430, 4.430 and 4.430 Å and the angles 90.00°, 90.00° and 90.00°. The asymmetric unit holds Ga at (0.000, 0.000, 0.000), Mo at (0.500, 0.500, 0.500) and Os at (0.000, 0.000, 0.500).

***

3.
NiHgBr2: optimized geometry, PBE.

The crystal system is orthorhombic. For the density of states at the Fermi level, the calculation gives 7.590 states/eV per cell. The calculation puts the energy above the most stable polymorph in this dataset at 206 meV per atom. The calculation puts the total magnetization at 0.20 μB/cell. The value obtained for the total energy is -2.389 eV/atom.

The structure belongs to space group Cmm2 (No. 35); the cell edges are 3.503, 7.860 and 9.102 Å and the angles 90.00°, 90.00° and 90.00°. The asymmetric unit holds Ni at (0.000, 0.000, 0.000), Hg at (0.000, 0.500, 0.793), Br at (0.000, 0.000, 0.567) and Br at (0.000, 0.500, 0.163).

***

4.
Zn3BrO3: optimized geometry, PBE.

The crystal system is cubic. For the density of states at the Fermi level, the calculation gives 16.100 states/eV per cell. The calculation puts the energy above the most stable polymorph in this dataset at 9 meV per atom. The calculation puts the total magnetization at 1.55 μB/cell. The value obtained for the total energy is -3.921 eV/atom.

The structure belongs to space group Pm-3n (No. 223); the cell edges are 5.758, 5.758 and 5.758 Å and the angles 90.00°, 90.00° and 90.00°. The asymmetric unit holds Zn at (0.000, 0.250, 0.500), Br at (0.000, 0.000, 0.000) and O at (0.000, 0.500, 0.250).